Cd2HgRu: relaxed, GGA-PBE.

Output
E_tot = -2.547 eV/atom
Crystal system = trigonal
Energy relative to the elements = 1.22 eV/f.u.

a b c (Å): 10.251 10.251 10.251
angles (deg): 16.91 16.91 16.91
Sites, in units of the cell vectors:
Ru: 0.750 0.750 0.750
Cd: 0.009 0.009 0.009
Hg: 0.250 0.250 0.250
Cd: 0.491 0.491 0.491

***

Li2ZnSe: relaxed, GGA-PBE.

Output
Formation energy without anion corrections = -0.54 eV/atom
E_tot = -2.690 eV/atom
Crystal system = tetragonal
ΔE to the lowest computed polymorph = 50 meV per atom

a b c (Å): 3.643 3.643 5.305
angles (deg): 90.00 90.00 90.00
Sites, in units of the cell vectors:
Se: 0.000 0.000 0.473
Li: 0.500 0.500 0.282
Zn: 0.500 0.500 0.766
Li: 0.000 0.000 0.978

***

SeBr2: relaxed, GGA-PBE.

Output
Formation energy without anion corrections = -0.01 eV/atom
E_tot = -2.285 eV/atom
Crystal system = tetragonal
ΔE to the lowest computed polymorph = 0 meV per atom

a b c (Å): 8.176 8.176 3.685
angles (deg): 90.00 90.00 90.00
Sites, in units of the cell vectors:
Se: 0.000 0.000 0.000
Br: 0.338 0.338 0.000
Br: 0.662 0.662 0.000
Br: 0.162 0.838 0.500
Br: 0.838 0.162 0.500
Se: 0.500 0.500 0.500

***

BaLa4Pb4: relaxed, GGA-PBE.

Output
E_tot = -4.457 eV/atom
Crystal system = tetragonal
Energy relative to the elements = -3.65 eV/f.u.

a b c (Å): 6.542 10.822 10.822
angles (deg): 90.00 90.00 90.00
Sites, in units of the cell vectors:
La: 0.896 0.616 0.864
La: 0.604 0.884 0.636
La: 0.396 0.364 0.884
La: 0.104 0.136 0.616
Pb: 0.587 0.188 0.665
Pb: 0.087 0.835 0.688
Ba: 0.500 0.500 0.500
Pb: 0.587 0.812 0.335
Pb: 0.413 0.335 0.188
La: 0.604 0.116 0.364
Pb: 0.913 0.688 0.165
La: 0.396 0.636 0.116
La: 0.896 0.384 0.136
La: 0.104 0.864 0.384
Pb: 0.413 0.665 0.812
Pb: 0.087 0.165 0.312
Pb: 0.913 0.312 0.835
Ba: 0.000 0.000 0.000

***

NdBIr4: relaxed, GGA-PBE.

Output
E_tot = -7.733 eV/atom
Crystal system = tetragonal
Energy relative to the elements = 0.49 eV/f.u.

a b c (Å): 5.036 5.036 8.744
angles (deg): 90.00 90.00 90.00
Sites, in units of the cell vectors:
B: 0.000 0.000 0.000
Ir: 0.500 0.754 0.693
Ir: 0.246 0.500 0.307
Ir: 0.254 0.000 0.193
Ir: 0.754 0.500 0.307
Nd: 0.000 0.000 0.500
Nd: 0.500 0.500 0.000
Ir: 0.500 0.246 0.693
B: 0.500 0.500 0.500
Ir: 0.000 0.746 0.807
Ir: 0.000 0.254 0.807
Ir: 0.746 0.000 0.193

***

La2Ga6Au3: relaxed, GGA-PBE.

Output
E_tot = -4.030 eV/atom
Crystal system = hexagonal
Energy relative to the elements = -6.49 eV/f.u.

a b c (Å): 4.273 7.991 7.991
angles (deg): 120.00 90.00 90.00
Sites, in units of the cell vectors:
Ga: 0.500 0.307 0.000
La: 0.000 0.333 0.667
Ga: 0.000 0.813 0.000
Au: 0.500 0.368 0.368
Ga: 0.500 0.693 0.693
La: 0.000 0.667 0.333
Ga: 0.000 0.187 0.187
Ga: 0.500 0.000 0.307
Ga: 0.000 0.000 0.813
Au: 0.500 0.632 0.000
Au: 0.500 0.000 0.632

***

Sr2CoPb2: relaxed, GGA-PBE.

Output
E_tot = -3.636 eV/atom
Crystal system = tetragonal
Energy relative to the elements = -0.29 eV/f.u.
ΔE to the lowest computed polymorph = 0 meV per atom

a b c (Å): 7.502 7.502 5.294
angles (deg): 90.00 90.00 90.00
Sites, in units of the cell vectors:
Pb: 0.349 0.849 0.000
Co: 0.000 0.000 0.000
Sr: 0.333 0.167 0.500
Co: 0.500 0.500 0.000
Pb: 0.651 0.151 0.000
Sr: 0.167 0.667 0.500
Sr: 0.667 0.833 0.500
Sr: 0.833 0.333 0.500
Pb: 0.151 0.349 0.000
Pb: 0.849 0.651 0.000